1.
Here is a relaxed Li2EuAg crystal from the Alexandria database. Energies are from PBE.

Values from the calculation:
Magnetization: 7.95 μB per formula unit
DFT formation energy: -0.10 eV per formula unit
Energy relative to the lowest polymorph listed for this composition: 21 meV per atom
Calculated total energy: -4.264 eV per atom

a = 7.099 Å, b = 7.099 Å, c = 7.099 Å
α = 90.00°, β = 90.00°, γ = 90.00°
Space group Fm-3m (No. 225)
One atom of each set of equivalent atoms:
Li  0.250  0.250  0.250 (multiplicity 8)
Eu  0.000  0.000  0.000 (multiplicity 4)
Ag  0.000  0.000  0.500 (multiplicity 4)

***

2.
Here is a relaxed CuPt5 crystal from the Alexandria database. Energies are from PBE.

Values from the calculation:
Magnetization: 0.00 μB per formula unit
DFT formation energy: 1.39 eV per formula unit
Calculated total energy: -5.484 eV per atom

a = 5.2003 Å, b = 5.2003 Å, c = 4.5138 Å
α = 90.00°, β = 90.00°, γ = 120.00°
Space group P6/mmm (No. 191)
One atom of each set of equivalent atoms:
Cu  0.0000  0.0000  0.0000 (multiplicity 1)
Pt  0.0000  0.5000  0.5000 (multiplicity 3)
Pt  0.3333  0.6667  0.0000 (multiplicity 2)

***

3.
Here is a relaxed CuReTe2N crystal from the Alexandria database. Energies are from PBE.

Values from the calculation:
Magnetization: 0.98 μB per formula unit
Energy relative to the lowest polymorph listed for this composition: 815 meV per atom
Calculated total energy: -4.882 eV per atom
ΔE_f (raw): 130 kJ/mol of atoms

a = 5.222 Å, b = 5.222 Å, c = 3.438 Å
α = 90.00°, β = 90.00°, γ = 90.00°
Space group P4/mmm (No. 123)
One atom of each set of equivalent atoms:
Cu  0.000  0.000  0.000 (multiplicity 1)
Re  0.500  0.500  0.500 (multiplicity 1)
Te  0.000  0.500  0.000 (multiplicity 2)
N  0.000  0.000  0.500 (multiplicity 1)

***

4.
Here is a relaxed BeHS2 crystal from the Alexandria database. Energies are from PBE.

Values from the calculation:
Magnetization: 0.00 μB per formula unit
Energy relative to the lowest polymorph listed for this composition: 884 meV per atom
Calculated total energy: -3.061 eV per atom

a = 5.605 Å, b = 5.605 Å, c = 5.605 Å
α = 90.00°, β = 90.00°, γ = 90.00°
Space group Fm-3m (No. 225)
One atom of each set of equivalent atoms:
Be  0.000  0.000  0.000 (multiplicity 4)
H  0.000  0.000  0.500 (multiplicity 4)
S  0.250  0.250  0.250 (multiplicity 8)

***

5.
Here is a relaxed Ac2La3Nd8 crystal from the Alexandria database. Energies are from PBE.

Values from the calculation:
Magnetization: 0.00 μB per formula unit
DFT formation energy: 3.20 eV per formula unit
Energy relative to the lowest polymorph listed for this composition: 79 meV per atom
Calculated total energy: -4.457 eV per atom

a = 6.7984 Å, b = 6.7984 Å, c = 37.7763 Å
α = 90.00°, β = 90.00°, γ = 120.00°
Space group R-3m (No. 166, hexagonal axes)
One atom of each set of equivalent atoms:
Ac  0.0000  0.0000  0.1392 (multiplicity 6)
La  0.0000  0.0000  0.3119 (multiplicity 6)
La  0.0000  0.0000  0.5000 (multiplicity 3)
Nd  0.0000  0.0000  0.2273 (multiplicity 6)
Nd  0.0021  0.5010  0.7213 (multiplicity 18)

***

6.
Here is a relaxed K4Y3PuTe8 crystal from the Alexandria database. Energies are from PBE.

Values from the calculation:
Magnetization: 5.00 μB per formula unit
Calculated total energy: -5.283 eV per atom
ΔE_f (raw): -128 kJ/mol of atoms

a = 9.0437 Å, b = 9.0437 Å, c = 24.6833 Å
α = 90.00°, β = 90.00°, γ = 120.00°
Space group R-3m (No. 166, hexagonal axes)
One atom of each set of equivalent atoms:
K  0.0000  0.0000  0.0000 (multiplicity 3)
K  0.0000  0.5000  0.0000 (multiplicity 9)
Y  0.0000  0.5000  0.5000 (multiplicity 9)
Pu  0.0000  0.0000  0.5000 (multiplicity 3)
Te  0.0000  0.0000  0.2363 (multiplicity 6)
Te  0.0038  0.5019  0.7636 (multiplicity 18)